# PBE ZrAu3Cl, optimized geometry
# - raw formation energy (meV/atom) = 670
# - M_tot (μB/cell) = 0.000
# - total energy (eV/atom) = -3.375
data_ZrAu3Cl
_cell_length_a 5.317
_cell_length_b 5.317
_cell_length_c 5.317
_cell_angle_alpha 90.00
_cell_angle_beta 90.00
_cell_angle_gamma 90.00
_symmetry_space_group_name_H-M 'P m -3 m'
_symmetry_Int_Tables_number 221
_symmetry_space_group_name_Hall '-P 4 2 3'
loop_
_atom_site_label
_atom_site_fract_x
_atom_site_fract_y
_atom_site_fract_z
Zr1 0.000 0.000 0.000
Au1 0.000 0.000 0.500
Cl1 0.500 0.500 0.500

# PBE Zr2AuCl, optimized geometry
# - raw formation energy (meV/atom) = -476
# - M_tot (μB/cell) = 0.000
# - total energy (eV/atom) = -6.031
data_Zr2AuCl
_cell_length_a 3.1929
_cell_length_b 3.1929
_cell_length_c 27.2412
_cell_angle_alpha 90.00
_cell_angle_beta 90.00
_cell_angle_gamma 120.00
_symmetry_space_group_name_H-M 'R -3 m'
_symmetry_Int_Tables_number 166
_symmetry_space_group_name_Hall '-R 3 2"'
loop_
_atom_site_label
_atom_site_fract_x
_atom_site_fract_y
_atom_site_fract_z
Zr1 0.0000 0.0000 0.2478
Au1 0.0000 0.0000 0.0000
Cl1 0.0000 0.0000 0.5000

# PBE ZrAuCl2, optimized geometry
# - raw formation energy (meV/atom) = -172
# - M_tot (μB/cell) = 0.002
# - total energy (eV/atom) = -4.051
data_ZrAuCl2
_cell_length_a 6.095
_cell_length_b 7.752
_cell_length_c 3.355
_cell_angle_alpha 90.00
_cell_angle_beta 90.00
_cell_angle_gamma 90.00
_symmetry_space_group_name_H-M 'C m m m'
_symmetry_Int_Tables_number 65
_symmetry_space_group_name_Hall '-C 2 2'
loop_
_atom_site_label
_atom_site_fract_x
_atom_site_fract_y
_atom_site_fract_z
Zr1 0.000 0.000 0.000
Au1 0.000 0.500 0.000
Cl1 0.250 0.250 0.500

# PBE ZrAu2Cl, optimized geometry
# - raw formation energy (meV/atom) = -311
# - M_tot (μB/cell) = 0.000
# - total energy (eV/atom) = -4.548
data_ZrAu2Cl
_cell_length_a 3.196
_cell_length_b 4.496
_cell_length_c 5.409
_cell_angle_alpha 90.00
_cell_angle_beta 90.00
_cell_angle_gamma 90.00
_symmetry_space_group_name_H-M 'P m m m'
_symmetry_Int_Tables_number 47
_symmetry_space_group_name_Hall '-P 2 2'
loop_
_atom_site_label
_atom_site_fract_x
_atom_site_fract_y
_atom_site_fract_z
Zr1 0.000 0.000 0.000
Au1 0.000 0.500 0.500
Au2 0.500 0.000 0.500
Cl1 0.500 0.500 0.000

# PBE Zr2AuCl, optimized geometry
# - raw formation energy (meV/atom) = -561
# - M_tot (μB/cell) = 0.000
# - total energy (eV/atom) = -6.116
data_Zr2AuCl
_cell_length_a 3.131
_cell_length_b 3.756
_cell_length_c 6.957
_cell_angle_alpha 90.00
_cell_angle_beta 90.11
_cell_angle_gamma 90.00
_symmetry_space_group_name_H-M 'P 1 2/m 1'
_symmetry_Int_Tables_number 10
_symmetry_space_group_name_Hall '-P 2y'
loop_
_atom_site_label
_atom_site_fract_x
_atom_site_fract_y
_atom_site_fract_z
Zr1 0.001 0.000 0.246
Au1 0.500 0.500 0.000
Cl1 0.000 0.500 0.500

# PBE ZrAuCl2, optimized geometry
# - raw formation energy (meV/atom) = -707
# - M_tot (μB/cell) = 2.815
# - total energy (eV/atom) = -4.587
data_ZrAuCl2
_cell_length_a 9.054
_cell_length_b 9.054
_cell_length_c 5.504
_cell_angle_alpha 90.00
_cell_angle_beta 90.00
_cell_angle_gamma 90.00
_symmetry_space_group_name_H-M 'I -4 2 d'
_symmetry_Int_Tables_number 122
_symmetry_space_group_name_Hall 'I -4 2bw'
loop_
_atom_site_label
_atom_site_fract_x
_atom_site_fract_y
_atom_site_fract_z
Zr1 0.000 0.000 0.000
Au1 0.000 0.000 0.500
Cl1 0.107 0.250 0.125

# PBE ZrAu2Cl, optimized geometry
# - raw formation energy (meV/atom) = -244
# - M_tot (μB/cell) = 0.000
# - total energy (eV/atom) = -4.482
data_ZrAu2Cl
_cell_length_a 3.883
_cell_length_b 3.883
_cell_length_c 5.166
_cell_angle_alpha 90.00
_cell_angle_beta 90.00
_cell_angle_gamma 90.00
_symmetry_space_group_name_H-M 'P 4/m m m'
_symmetry_Int_Tables_number 123
_symmetry_space_group_name_Hall '-P 4 2'
loop_
_atom_site_label
_atom_site_fract_x
_atom_site_fract_y
_atom_site_fract_z
Zr1 0.000 0.000 0.000
Au1 0.000 0.500 0.500
Cl1 0.500 0.500 0.000

# PBE ZrAuCl2, optimized geometry
# - raw formation energy (meV/atom) = -639
# - M_tot (μB/cell) = 0.000
# - total energy (eV/atom) = -4.519
data_ZrAuCl2
_cell_length_a 3.143
_cell_length_b 5.805
_cell_length_c 11.303
_cell_angle_alpha 90.00
_cell_angle_beta 90.00
_cell_angle_gamma 90.00
_symmetry_space_group_name_H-M 'C m m m'
_symmetry_Int_Tables_number 65
_symmetry_space_group_name_Hall '-C 2 2'
loop_
_atom_site_label
_atom_site_fract_x
_atom_site_fract_y
_atom_site_fract_z
Zr1 0.000 0.000 0.000
Au1 0.000 0.000 0.500
Cl1 0.000 0.500 0.178

# PBE Zr4AuCl, optimized geometry
# - raw formation energy (meV/atom) = 374
# - M_tot (μB/cell) = 0.000
# - total energy (eV/atom) = -6.179
data_Zr4AuCl
_cell_length_a 8.143
_cell_length_b 8.143
_cell_length_c 8.143
_cell_angle_alpha 90.00
_cell_angle_beta 90.00
_cell_angle_gamma 90.00
_symmetry_space_group_name_H-M 'F -4 3 m'
_symmetry_Int_Tables_number 216
_symmetry_space_group_name_Hall 'F -4 2 3'
loop_
_atom_site_label
_atom_site_fract_x
_atom_site_fract_y
_atom_site_fract_z
Zr1 0.123 0.123 0.123
Au1 0.250 0.250 0.750
Cl1 0.000 0.000 0.500

# PBE ZrAuCl2, optimized geometry
# - raw formation energy (meV/atom) = -415
# - M_tot (μB/cell) = 0.000
# - total energy (eV/atom) = -4.294
data_ZrAuCl2
_cell_length_a 5.153
_cell_length_b 3.278
_cell_length_c 5.440
_cell_angle_alpha 90.00
_cell_angle_beta 118.07
_cell_angle_gamma 90.00
_symmetry_space_group_name_H-M 'P 1 2/m 1'
_symmetry_Int_Tables_number 10
_symmetry_space_group_name_Hall '-P 2y'
loop_
_atom_site_label
_atom_site_fract_x
_atom_site_fract_y
_atom_site_fract_z
Zr1 0.000 0.000 0.000
Au1 0.500 0.500 0.500
Cl1 0.000 0.500 0.500
Cl2 0.500 0.000 0.000

# PBE Zr2AuCl, optimized geometry
# - raw formation energy (meV/atom) = -151
# - M_tot (μB/cell) = 0.000
# - total energy (eV/atom) = -5.706
data_Zr2AuCl
_cell_length_a 3.916
_cell_length_b 3.916
_cell_length_c 10.952
_cell_angle_alpha 90.00
_cell_angle_beta 90.00
_cell_angle_gamma 90.00
_symmetry_space_group_name_H-M 'I -4 m 2'
_symmetry_Int_Tables_number 119
_symmetry_space_group_name_Hall 'I -4 -2'
loop_
_atom_site_label
_atom_site_fract_x
_atom_site_fract_y
_atom_site_fract_z
Zr1 0.000 0.000 0.000
Zr2 0.000 0.500 0.250
Au1 0.000 0.500 0.750
Cl1 0.000 0.000 0.500

# PBE ZrAuCl2, optimized geometry
# - raw formation energy (meV/atom) = -260
# - M_tot (μB/cell) = 0.000
# - total energy (eV/atom) = -4.140
data_ZrAuCl2
_cell_length_a 4.263
_cell_length_b 4.263
_cell_length_c 4.403
_cell_angle_alpha 90.00
_cell_angle_beta 90.00
_cell_angle_gamma 90.00
_symmetry_space_group_name_H-M 'P 4/m m m'
_symmetry_Int_Tables_number 123
_symmetry_space_group_name_Hall '-P 4 2'
loop_
_atom_site_label
_atom_site_fract_x
_atom_site_fract_y
_atom_site_fract_z
Zr1 0.000 0.000 0.000
Au1 0.500 0.500 0.000
Cl1 0.000 0.500 0.500

# PBE ZrAu2Cl, optimized geometry
# - raw formation energy (meV/atom) = -315
# - M_tot (μB/cell) = 0.000
# - total energy (eV/atom) = -4.552
data_ZrAu2Cl
_cell_length_a 8.175
_cell_length_b 8.175
_cell_length_c 5.280
_cell_angle_alpha 90.00
_cell_angle_beta 90.00
_cell_angle_gamma 90.00
_symmetry_space_group_name_H-M 'I -4 2 d'
_symmetry_Int_Tables_number 122
_symmetry_space_group_name_Hall 'I -4 2bw'
loop_
_atom_site_label
_atom_site_fract_x
_atom_site_fract_y
_atom_site_fract_z
Zr1 0.000 0.000 0.000
Au1 0.223 0.250 0.125
Cl1 0.000 0.000 0.500

# PBE ZrAuCl, optimized geometry
# - raw formation energy (meV/atom) = -464
# - M_tot (μB/cell) = 0.000
# - total energy (eV/atom) = -5.021
data_ZrAuCl
_cell_length_a 4.5335
_cell_length_b 4.5335
_cell_length_c 3.3655
_cell_angle_alpha 90.00
_cell_angle_beta 90.00
_cell_angle_gamma 120.00
_symmetry_space_group_name_H-M 'P -6 m 2'
_symmetry_Int_Tables_number 187
_symmetry_space_group_name_Hall 'P -6 2'
loop_
_atom_site_label
_atom_site_fract_x
_atom_site_fract_y
_atom_site_fract_z
Zr1 0.0000 0.0000 0.0000
Au1 0.6667 0.3333 0.5000
Cl1 0.3333 0.6667 0.0000

# PBE ZrAu2Cl, optimized geometry
# - raw formation energy (meV/atom) = -247
# - M_tot (μB/cell) = 0.000
# - total energy (eV/atom) = -4.484
data_ZrAu2Cl
_cell_length_a 3.913
_cell_length_b 3.913
_cell_length_c 10.124
_cell_angle_alpha 90.00
_cell_angle_beta 90.00
_cell_angle_gamma 90.00
_symmetry_space_group_name_H-M 'I 4/m m m'
_symmetry_Int_Tables_number 139
_symmetry_space_group_name_Hall '-I 4 2'
loop_
_atom_site_label
_atom_site_fract_x
_atom_site_fract_y
_atom_site_fract_z
Zr1 0.000 0.000 0.000
Au1 0.000 0.500 0.250
Cl1 0.000 0.000 0.500

# PBE ZrAu2Cl, optimized geometry
# - raw formation energy (meV/atom) = -470
# - M_tot (μB/cell) = 0.000
# - total energy (eV/atom) = -4.707
data_ZrAu2Cl
_cell_length_a 5.117
_cell_length_b 10.869
_cell_length_c 3.295
_cell_angle_alpha 90.00
_cell_angle_beta 90.00
_cell_angle_gamma 90.00
_symmetry_space_group_name_H-M 'C m m m'
_symmetry_Int_Tables_number 65
_symmetry_space_group_name_Hall '-C 2 2'
loop_
_atom_site_label
_atom_site_fract_x
_atom_site_fract_y
_atom_site_fract_z
Zr1 0.000 0.000 0.000
Au1 0.000 0.208 0.500
Cl1 0.000 0.500 0.000

# PBE ZrAuCl2, optimized geometry
# - raw formation energy (meV/atom) = -996
# - M_tot (μB/cell) = 0.000
# - total energy (eV/atom) = -4.876
data_ZrAuCl2
_cell_length_a 3.145
_cell_length_b 5.101
_cell_length_c 13.720
_cell_angle_alpha 90.00
_cell_angle_beta 90.00
_cell_angle_gamma 90.00
_symmetry_space_group_name_H-M 'I m m m'
_symmetry_Int_Tables_number 71
_symmetry_space_group_name_Hall '-I 2 2'
loop_
_atom_site_label
_atom_site_fract_x
_atom_site_fract_y
_atom_site_fract_z
Zr1 0.000 0.000 0.000
Au1 0.000 0.000 0.500
Cl1 0.000 0.500 0.351

# PBE ZrAuCl, optimized geometry
# - raw formation energy (meV/atom) = -780
# - M_tot (μB/cell) = 0.000
# - total energy (eV/atom) = -5.337
data_ZrAuCl
_cell_length_a 3.3045
_cell_length_b 3.3045
_cell_length_c 7.4030
_cell_angle_alpha 90.00
_cell_angle_beta 90.00
_cell_angle_gamma 120.00
_symmetry_space_group_name_H-M 'P 3 m 1'
_symmetry_Int_Tables_number 156
_symmetry_space_group_name_Hall 'P 3 -2"'
loop_
_atom_site_label
_atom_site_fract_x
_atom_site_fract_y
_atom_site_fract_z
Zr1 0.0000 0.0000 0.0000
Au1 0.3333 0.6667 0.2894
Cl1 0.6667 0.3333 0.7540

# PBE ZrAuCl2, optimized geometry
# - raw formation energy (meV/atom) = -301
# - M_tot (μB/cell) = 0.000
# - total energy (eV/atom) = -4.181
data_ZrAuCl2
_cell_length_a 3.297
_cell_length_b 4.482
_cell_length_c 5.370
_cell_angle_alpha 90.00
_cell_angle_beta 90.00
_cell_angle_gamma 90.00
_symmetry_space_group_name_H-M 'P m m m'
_symmetry_Int_Tables_number 47
_symmetry_space_group_name_Hall '-P 2 2'
loop_
_atom_site_label
_atom_site_fract_x
_atom_site_fract_y
_atom_site_fract_z
Zr1 0.000 0.000 0.000
Au1 0.500 0.000 0.500
Cl1 0.000 0.500 0.500
Cl2 0.500 0.500 0.000

# PBE ZrAuCl2, optimized geometry
# - raw formation energy (meV/atom) = -915
# - M_tot (μB/cell) = 0.000
# - total energy (eV/atom) = -4.795
data_ZrAuCl2
_cell_length_a 5.612
_cell_length_b 13.372
_cell_length_c 3.208
_cell_angle_alpha 90.00
_cell_angle_beta 90.00
_cell_angle_gamma 90.00
_symmetry_space_group_name_H-M 'C m m m'
_symmetry_Int_Tables_number 65
_symmetry_space_group_name_Hall '-C 2 2'
loop_
_atom_site_label
_atom_site_fract_x
_atom_site_fract_y
_atom_site_fract_z
Zr1 0.000 0.000 0.000
Au1 0.000 0.500 0.000
Cl1 0.000 0.147 0.500